# NaZr2WO8 | the Alexandria database | PBE with a Hubbard U | optimized geometry
# total magnetization: 0.9 μB per formula unit
# uncorrected energy: -7.890 eV per atom
data_NaZr2WO8
_chemical_formula_sum 'Na2 Zr4 W2 O16'
_cell_length_a 6.851
_cell_length_b 6.989
_cell_length_c 6.683
_cell_angle_alpha 90.00
_cell_angle_beta 90.00
_cell_angle_gamma 90.00
_symmetry_space_group_name_H-M 'C m m m'
_symmetry_Int_Tables_number 65
_symmetry_space_group_name_Hall '-C 2 2'
loop_
_atom_site_label
_atom_site_type_symbol
_atom_site_fract_x
_atom_site_fract_y
_atom_site_fract_z
Na1 Na 0.000 0.000 0.000
Zr1 Zr 0.000 0.500 0.235
W1 W 0.000 0.000 0.500
O1 O 0.000 0.285 0.500
O2 O 0.000 0.317 0.000
O3 O 0.199 0.000 0.295